[1]
Zr3Tc, optimized geometry, DFT GGA-PBE; SG = Fm-3m (225); ΔH_f (0 K) = -0.04 eV per atom; M_tot = 0.00 μB per atom
1.0
4.8303 0.0000 0.0000
2.4152 4.1832 0.0000
2.4152 1.3944 3.9440
Zr Tc
3 1
direct
0.5000 0.5000 0.5000
0.7500 0.7500 0.7500
0.2500 0.2500 0.2500
0.0000 0.0000 0.0000

***

[2]
Zr3Tc, optimized geometry, DFT GGA-PBE; SG = Pm-3m (221); ΔH_f (0 K) = 0.11 eV per atom; M_tot = 0.00 μB per atom
1.0
4.3470 0.0000 0.0000
0.0000 4.3470 0.0000
0.0000 0.0000 4.3470
Zr Tc
3 1
direct
0.5000 0.0000 0.5000
0.5000 0.5000 0.0000
0.0000 0.5000 0.5000
0.0000 0.0000 0.0000

***

[3]
Zr5Tc4, optimized geometry, DFT GGA-PBE; SG = P6_3/mcm (193); offset from the most stable computed form = 0 meV per atom; ΔH_f (0 K) = -0.10 eV per atom; M_tot = 0.00 μB per atom
1.0
-7.2835 -1.9262 -3.1058
-0.9086 -0.8096 -8.0576
1.3369 -5.7423 0.4262
Zr Tc
10 8
direct
0.6667 0.6667 0.0000
0.0000 0.2808 0.2500
0.2808 0.0000 0.7500
0.7192 0.0000 0.2500
0.0000 0.7192 0.7500
0.6667 0.6667 0.5000
0.2808 0.7192 0.2500
0.3333 0.3333 0.5000
0.3333 0.3333 0.0000
0.7192 0.2808 0.7500
0.0000 0.0000 0.0000
0.3752 0.0000 0.2500
0.0000 0.0000 0.5000
0.0000 0.6248 0.2500
0.6248 0.3752 0.2500
0.0000 0.3752 0.7500
0.6248 0.0000 0.7500
0.3752 0.6248 0.7500

***

[4]
Zr7Tc6, optimized geometry, DFT GGA-PBE; SG = R-3m (166); ΔH_f (0 K) = 0.48 eV per atom; M_tot = 0.00 μB per atom
1.0
-4.2509 6.8834 -4.8264
-7.4758 5.7300 -0.1601
-2.7322 9.0092 0.3388
Tc Zr
6 7
direct
0.9459 0.9459 0.9459
0.6671 0.6671 0.6671
0.3329 0.3329 0.3329
0.0541 0.0541 0.0541
0.1430 0.1430 0.1430
0.8570 0.8570 0.8570
0.9241 0.4156 0.4156
0.5844 0.0759 0.5844
0.4156 0.4156 0.9241
0.5000 0.5000 0.5000
0.5844 0.5844 0.0759
0.0759 0.5844 0.5844
0.4156 0.9241 0.4156

***

[5]
Zr5Tc, optimized geometry, DFT GGA-PBE; SG = Cmmm (65); offset from the most stable computed form = 92 meV per atom; ΔH_f (0 K) = -0.04 eV per atom; M_tot = 0.00 μB per atom
1.0
-5.4213 4.7550 2.6477
3.0137 -5.0377 -4.9548
-2.0742 -3.8316 2.6340
Zr Tc
5 1
direct
0.8333 0.1667 0.5000
0.1667 0.8333 0.5000
0.3527 0.6473 0.0000
0.5000 0.5000 0.5000
0.6473 0.3527 0.0000
0.0000 0.0000 0.0000

***

[6]
Zr4Tc, optimized geometry, DFT GGA-PBE; SG = Ccce (68); offset from the most stable computed form = 336 meV per atom; ΔH_f (0 K) = 0.15 eV per atom; M_tot = 0.00 μB per atom
1.0
6.1703 0.0000 0.0000
0.0000 6.5822 0.0000
0.0000 -3.2911 5.4511
Zr Tc
8 2
direct
0.6816 0.2840 0.2616
0.6816 0.7160 0.7384
0.8184 0.2160 0.7384
0.8184 0.7840 0.2616
0.3184 0.9776 0.2616
0.1816 0.5224 0.7384
0.3184 0.0223 0.7384
0.1816 0.4776 0.2616
0.0000 0.0000 0.0000
0.5000 0.5000 0.0000